(1)
DFT (GGA-PBEsol) results for a relaxed structure of Er3Pb.

Calculated values
Formation energy = -0.28 eV/atom
SG = No. 194
N(E_F) = 11.430 states/eV per cell

```
Er3Pb
1.0
5.521 0.000 0.000
0.000 6.679 0.000
0.000 -3.339 5.784
Pb Er
2 6
Direct
0.250 0.667 0.333 Pb
0.750 0.333 0.667 Pb
0.750 0.831 0.662 Er
0.250 0.662 0.831 Er
0.250 0.169 0.338 Er
0.750 0.831 0.169 Er
0.250 0.169 0.831 Er
0.750 0.338 0.169 Er
```


(2)
DFT (GGA-PBEsol) results for a relaxed structure of Ta5Ga3.

Calculated values
Formation energy = -0.30 eV/atom
Offset from the most stable computed form = 0 meV/atom
SG = No. 140
N(E_F) = 9.161 states/eV per cell

```
Ta5Ga3
1.0
-0.823 -1.964 4.594
5.711 -4.703 1.803
3.156 4.492 5.277
Ta Ga
10 6
Direct
0.576 0.702 0.146 Ta
0.076 0.146 0.702 Ta
0.278 0.146 0.298 Ta
0.222 0.702 0.854 Ta
0.924 0.854 0.298 Ta
0.778 0.298 0.146 Ta
0.750 0.500 0.500 Ta
0.722 0.854 0.702 Ta
0.424 0.298 0.854 Ta
0.250 0.500 0.500 Ta
0.334 0.831 0.500 Ga
0.666 0.169 0.500 Ga
0.166 0.500 0.169 Ga
0.834 0.500 0.831 Ga
0.250 0.000 0.000 Ga
0.750 0.000 0.000 Ga
```


(3)
DFT (GGA-PBEsol) results for a relaxed structure of CoSn3B.

Calculated values
Formation energy = 0.89 eV/atom
SG = No. 221
N(E_F) = 5.221 states/eV per cell

```
CoSn3B
1.0
4.778 0.000 0.000
0.000 4.778 0.000
0.000 0.000 4.778
Sn Co B
3 1 1
Direct
0.000 0.500 0.000 Sn
0.500 0.000 0.000 Sn
0.000 0.000 0.500 Sn
0.000 0.000 0.000 Co
0.500 0.500 0.500 B
```


(4)
DFT (GGA-PBEsol) results for a relaxed structure of ScReSbTe2.

Calculated values
E = -0.375 Ry per atom
SG = No. 123
N(E_F) = 4.619 states/eV per cell

```
ScReSbTe2
1.0
-3.499 4.019 0.204
-2.530 -1.987 -4.254
-3.183 -2.937 3.265
Sc Te Sb Re
1 2 1 1
Direct
0.000 0.000 0.000 Sc
0.500 0.000 0.000 Te
0.000 0.500 0.000 Te
0.000 0.000 0.500 Sb
0.500 0.500 0.500 Re
```


Number 1: volume 213.3 Å³/cell. Number 2: volume 261.2 Å³/cell. Number 3: volume 109.1 Å³/cell. Number 4: volume 154.3 Å³/cell.